Entry 1:
Here is a relaxed Re7Ni5 crystal from OQMD via LeMat-Bulk. Energies are from PBE-GGA. Values from VASP.

Computed properties:
E above lowest polymorph	1.74	eV per formula unit

Geometry as Quantum ESPRESSO input:
```
&SYSTEM
  ibrav = 0, nat = 24, ntyp = 2
/
ATOMIC_SPECIES
Re 186.21 Re.upf
Ni 58.69 Ni.upf
ATOMIC_POSITIONS crystal
Re 0.160 0.320 0.250
Re 0.160 0.840 0.250
Re 0.320 0.160 0.750
Re 0.333 0.667 0.122
Re 0.333 0.667 0.378
Re 0.333 0.667 0.653
Re 0.333 0.667 0.847
Re 0.667 0.333 0.153
Re 0.667 0.333 0.347
Re 0.667 0.333 0.622
Re 0.667 0.333 0.878
Re 0.680 0.840 0.250
Re 0.840 0.160 0.750
Re 0.840 0.680 0.750
Ni 0.000 0.000 0.090
Ni 0.000 0.000 0.410
Ni 0.000 0.000 0.590
Ni 0.000 0.000 0.910
Ni 0.000 0.500 0.000
Ni 0.000 0.500 0.500
Ni 0.500 0.000 0.000
Ni 0.500 0.000 0.500
Ni 0.500 0.500 0.000
Ni 0.500 0.500 0.500
CELL_PARAMETERS angstrom
4.990 0.000 0.000
-2.495 4.321 0.000
0.000 0.000 15.751
```



Entry 2:
Here is a relaxed Re7Ni5 crystal from OQMD via LeMat-Bulk. Energies are from PBE-GGA. Values from VASP.

Computed properties:
E above lowest polymorph	0.19	eV per formula unit

Geometry as Quantum ESPRESSO input:
```
&SYSTEM
  ibrav = 0, nat = 24, ntyp = 2
/
ATOMIC_SPECIES
Re 186.21 Re.upf
Ni 58.69 Ni.upf
ATOMIC_POSITIONS crystal
Re 0.000 0.000 0.082
Re 0.000 0.000 0.418
Re 0.000 0.000 0.582
Re 0.000 0.000 0.918
Re 0.164 0.329 0.250
Re 0.164 0.836 0.250
Re 0.329 0.164 0.750
Re 0.333 0.667 0.652
Re 0.333 0.667 0.848
Re 0.667 0.333 0.152
Re 0.667 0.333 0.348
Re 0.671 0.836 0.250
Re 0.836 0.164 0.750
Re 0.836 0.671 0.750
Ni 0.000 0.500 0.000
Ni 0.000 0.500 0.500
Ni 0.333 0.667 0.121
Ni 0.333 0.667 0.379
Ni 0.500 0.000 0.000
Ni 0.500 0.000 0.500
Ni 0.500 0.500 0.000
Ni 0.500 0.500 0.500
Ni 0.667 0.333 0.621
Ni 0.667 0.333 0.879
CELL_PARAMETERS angstrom
4.891 0.000 0.000
-2.445 4.235 0.000
0.000 0.000 15.411
```